# SiRu3

A relaxed SiRu3 crystal (PBE, Alexandria).

Properties
Energy relative to the elements, uncorrected (eV/atom): 0.16
Total magnetization (μB per atom): 0.0000

abc: 5.148 5.148 4.421
angles: 90.00 90.00 98.27
Element x y z (fractional)
Ru1 0.438 0.107 0.750
Ru2 0.562 0.893 0.250
Ru3 0.085 0.085 0.250
Ru4 0.915 0.915 0.750
Ru5 0.107 0.438 0.750
Ru6 0.893 0.562 0.250
Si1 0.578 0.578 0.750
Si2 0.422 0.422 0.250

---

# SiRu3

A relaxed SiRu3 crystal (PBE, Alexandria).

Properties
Energy relative to the elements, uncorrected (eV/atom): 0.15
Total magnetization (μB per atom): 0.0000

abc: 4.806 4.806 4.806
angles: 90.00 90.00 90.00
Element x y z (fractional)
Ru1 0.500 0.000 0.250
Ru2 0.000 0.250 0.500
Ru3 0.750 0.500 0.000
Ru4 0.500 0.000 0.750
Ru5 0.000 0.750 0.500
Ru6 0.250 0.500 0.000
Si1 0.500 0.500 0.500
Si2 0.000 0.000 0.000

---

# SiRu3

A relaxed SiRu3 crystal (PBE, Alexandria).

Properties
Energy relative to the elements, uncorrected (eV/atom): 0.21
Total magnetization (μB per atom): 0.0026

abc: 4.896 4.896 4.896
angles: 116.50 116.50 116.50
Element x y z (fractional)
Ru1 0.500 0.000 0.500
Ru2 0.500 0.500 0.000
Ru3 0.000 0.000 0.000
Si1 0.000 0.500 0.500

---

# Si3Ru

A relaxed Si3Ru crystal (PBE, Alexandria).

Properties
Energy relative to the elements, uncorrected (eV/atom): 0.18
Total magnetization (μB per atom): 0.0000

abc: 4.687 4.687 4.687
angles: 115.22 115.22 115.22
Element x y z (fractional)
Si1 0.500 0.500 0.000
Si2 0.000 0.500 0.500
Si3 0.500 0.000 0.500
Ru1 0.000 0.000 0.000

---

# Si3Ru

A relaxed Si3Ru crystal (PBE, Alexandria).

Properties
Energy relative to the elements, uncorrected (eV/atom): 0.63
Total magnetization (μB per atom): 0.5076

abc: 4.624 4.624 4.624
angles: 90.00 90.00 90.00
Site moments in Bohr magnetons follow the coordinates.
Element x y z (fractional)
Si1 0.500 0.000 0.000  0.14
Si2 0.000 0.500 0.000  0.14
Si3 0.000 0.000 0.500  0.14
Ru1 0.000 0.000 0.000  0.58

---

# SiRu5

A relaxed SiRu5 crystal (PBE, Alexandria).

Properties
Energy relative to the elements, uncorrected (eV/atom): 0.69
Total magnetization (μB per atom): 0.2365
E above lowest polymorph (eV per atom): 0.793

abc: 5.025 5.025 5.025
angles: 60.00 60.00 60.00
Site moments in Bohr magnetons follow the coordinates.
Element x y z (fractional)
Si1 0.000 0.000 0.000  0.01
Ru1 0.625 0.126 0.625  0.16
Ru2 0.625 0.625 0.625  0.16
Ru3 0.625 0.625 0.126  0.16
Ru4 0.126 0.625 0.625  0.16
Ru5 0.250 0.250 0.250  0.73

---

# SiRu4

A relaxed SiRu4 crystal (PBE, Alexandria).

Properties
Energy relative to the elements, uncorrected (eV/atom): -0.08
Total magnetization (μB per atom): 0.0000
E above lowest polymorph (eV per atom): 0.000

abc: 4.642 4.642 4.642
angles: 99.70 99.70 131.52
Element x y z (fractional)
Ru1 0.195 0.604 0.799
Ru2 0.805 0.396 0.201
Ru3 0.604 0.805 0.409
Ru4 0.396 0.195 0.591
Si1 0.000 0.000 0.000

---

# Si2Ru

A relaxed Si2Ru crystal (PBE, Alexandria).

Properties
Energy relative to the elements, uncorrected (eV/atom): -0.04
Total magnetization (μB per atom): 0.0000

abc: 4.052 4.052 2.834
angles: 90.00 90.00 90.00
Element x y z (fractional)
Ru1 0.000 0.000 0.000
Si1 0.500 0.000 0.500
Si2 0.000 0.500 0.500

---

# Si4Ru

A relaxed Si4Ru crystal (PBE, Alexandria).

Properties
Energy relative to the elements, uncorrected (eV/atom): 0.65
Total magnetization (μB per atom): 0.0062
E above lowest polymorph (eV per atom): 0.378

abc: 4.591 4.591 4.591
angles: 90.00 90.00 90.00
Element x y z (fractional)
Si1 0.500 0.500 0.000
Si2 0.000 0.000 0.000
Si3 0.500 0.000 0.500
Si4 0.000 0.500 0.500
Ru1 0.500 0.500 0.500

---

# SiRu4

A relaxed SiRu4 crystal (PBE, Alexandria).

Properties
Energy relative to the elements, uncorrected (eV/atom): 0.79
Total magnetization (μB per atom): 0.3383
E above lowest polymorph (eV per atom): 0.866

abc: 4.722 4.722 4.722
angles: 109.47 109.47 109.47
Site moments in Bohr magnetons follow the coordinates.
Element x y z (fractional)
Ru1 0.500 0.500 0.500  0.39
Ru2 0.000 0.500 0.000  0.39
Ru3 0.500 0.000 0.000  0.39
Ru4 0.000 0.000 0.500  0.39
Si1 0.000 0.000 0.000  0.01

---

# Si3Ru

A relaxed Si3Ru crystal (PBE, Alexandria).

Properties
Energy relative to the elements, uncorrected (eV/atom): 0.03
Total magnetization (μB per atom): 0.0000

abc: 2.964 2.964 7.454
angles: 90.00 90.00 120.00
Element x y z (fractional)
Si1 0.000 0.000 0.500
Si2 0.667 0.333 0.240
Si3 0.667 0.333 0.760
Ru1 0.000 0.000 0.000

---

# Si3Ru

A relaxed Si3Ru crystal (PBE, Alexandria).

Properties
Energy relative to the elements, uncorrected (eV/atom): 0.26
Total magnetization (μB per atom): 0.0000

abc: 3.784 3.784 3.784
angles: 90.00 90.00 90.00
Element x y z (fractional)
Si1 0.500 0.500 0.000
Si2 0.000 0.500 0.500
Si3 0.500 0.000 0.500
Ru1 0.000 0.000 0.000